Record 1
Material: MgIr2Br
Method: DFT, PBEsol
State: relaxed Values from VASP.

Its energy relative to the lowest polymorph listed for this composition is 0 meV/atom. The space-group type is I-4m2. Its formation energy without anion corrections is 0.622 eV per atom.

Cell and atoms, written as Quantum ESPRESSO input:
```
&SYSTEM
  ibrav = 0, nat = 4, ntyp = 3
/
ATOMIC_SPECIES
Br 79.90 Br.upf
Ir 192.22 Ir.upf
Mg 24.30 Mg.upf
ATOMIC_POSITIONS crystal
Br 0.250 0.750 0.500
Ir 0.000 0.000 0.000
Ir 0.750 0.250 0.500
Mg 0.500 0.500 0.000
CELL_PARAMETERS angstrom
-3.452 0.260 -1.866
0.666 -3.476 -1.715
-0.448 -0.295 4.933
```

Record 2
Material: Rb2GaRePb
Method: DFT, PBEsol
State: relaxed Values from VASP.

For the total energy, the calculation gives -14.48 eV for the cell shown. The space-group type is P4/mmm.

Cell and atoms, written as Quantum ESPRESSO input:
```
&SYSTEM
  ibrav = 0, nat = 5, ntyp = 4
/
ATOMIC_SPECIES
Pb 207.20 Pb.upf
Ga 69.72 Ga.upf
Re 186.21 Re.upf
Rb 85.47 Rb.upf
ATOMIC_POSITIONS crystal
Pb 0.000 0.000 0.000
Ga 0.500 0.000 0.000
Re 0.500 0.500 0.500
Rb 0.000 0.500 0.000
Rb 0.000 0.000 0.500
CELL_PARAMETERS angstrom
-2.409 0.536 -4.552
3.318 -5.644 -2.420
-5.212 -4.043 2.282
```

Record 3
Material: Tl2Ga2Ag
Method: DFT, PBEsol
State: relaxed Values from VASP.

For the total energy, the calculation gives -29.72 eV for the cell shown. The space-group type is P4/mbm.

Cell and atoms, written as Quantum ESPRESSO input:
```
&SYSTEM
  ibrav = 0, nat = 10, ntyp = 3
/
ATOMIC_SPECIES
Tl 204.38 Tl.upf
Ga 69.72 Ga.upf
Ag 107.87 Ag.upf
ATOMIC_POSITIONS crystal
Tl 0.500 0.679 0.821
Tl 0.500 0.179 0.679
Tl 0.500 0.321 0.179
Tl 0.500 0.821 0.321
Ga 0.000 0.636 0.136
Ga 0.000 0.864 0.636
Ga 0.000 0.136 0.364
Ga 0.000 0.364 0.864
Ag 0.000 0.000 0.000
Ag 0.000 0.500 0.500
CELL_PARAMETERS angstrom
4.913 0.000 0.000
0.000 6.723 0.000
0.000 0.000 6.723
```

Record 4
Material: ScCuAs3
Method: DFT, PBEsol
State: relaxed Values from VASP.

For the total energy, the calculation gives -23.12 eV for the cell shown. The space-group type is Pm-3m.

Cell and atoms, written as Quantum ESPRESSO input:
```
&SYSTEM
  ibrav = 0, nat = 5, ntyp = 3
/
ATOMIC_SPECIES
Sc 44.96 Sc.upf
As 74.92 As.upf
Cu 63.55 Cu.upf
ATOMIC_POSITIONS crystal
Sc 0.000 0.000 0.000
As 0.500 0.000 0.000
As 0.000 0.000 0.500
As 0.000 0.500 0.000
Cu 0.500 0.500 0.500
CELL_PARAMETERS angstrom
-1.955 -4.397 -1.229
-0.654 -1.054 4.809
-4.519 2.055 -0.164
```

Record 5
Material: HfTiNi2
Method: DFT, PBEsol
State: relaxed Values from VASP.

For the total energy, the calculation gives -32.66 eV for the cell shown. The space-group type is Fm-3m.

Cell and atoms, written as Quantum ESPRESSO input:
```
&SYSTEM
  ibrav = 0, nat = 4, ntyp = 3
/
ATOMIC_SPECIES
Ni 58.69 Ni.upf
Ti 47.87 Ti.upf
Hf 178.49 Hf.upf
ATOMIC_POSITIONS crystal
Ni 0.250 0.250 0.250
Ni 0.750 0.750 0.750
Ti 0.000 0.000 0.000
Hf 0.500 0.500 0.500
CELL_PARAMETERS angstrom
4.321 0.000 0.000
2.160 3.742 0.000
2.160 1.247 3.528
```

Record 6
Material: CaTl2Os
Method: DFT, PBEsol
State: relaxed Values from VASP.

For the total energy, the calculation gives -17.65 eV for the cell shown. The space-group type is P4/mmm.

Cell and atoms, written as Quantum ESPRESSO input:
```
&SYSTEM
  ibrav = 0, nat = 4, ntyp = 3
/
ATOMIC_SPECIES
Tl 204.38 Tl.upf
Os 190.23 Os.upf
Ca 40.08 Ca.upf
ATOMIC_POSITIONS crystal
Tl 0.000 0.500 0.000
Tl 0.000 0.000 0.500
Os 0.500 0.500 0.500
Ca 0.500 0.000 0.000
CELL_PARAMETERS angstrom
-2.266 0.145 3.696
3.083 -2.416 1.985
2.125 3.664 1.159
```

Record 7
Material: HfIn2TcBr
Method: DFT, PBEsol
State: relaxed Values from VASP.

The space-group type is P4/mmm. Its formation energy without anion corrections is 1.265 eV per atom.

Cell and atoms, written as Quantum ESPRESSO input:
```
&SYSTEM
  ibrav = 0, nat = 5, ntyp = 4
/
ATOMIC_SPECIES
Hf 178.49 Hf.upf
Tc 98.00 Tc.upf
In 114.82 In.upf
Br 79.90 Br.upf
ATOMIC_POSITIONS crystal
Hf 0.500 0.500 0.500
Tc 0.500 0.000 0.000
In 0.000 0.500 0.000
In 0.000 0.000 0.500
Br 0.000 0.000 0.000
CELL_PARAMETERS angstrom
-1.279 -4.241 0.375
4.944 -1.566 -0.843
0.936 0.174 5.167
```

Record 8
Material: Ba2Si3Ge5O18
Method: DFT, PBEsol
State: relaxed Values from VASP.

The space-group type is P-6. Its formation energy without anion corrections is -2.296 eV per atom.

Cell and atoms, written as Quantum ESPRESSO input:
```
&SYSTEM
  ibrav = 0, nat = 28, ntyp = 4
/
ATOMIC_SPECIES
O 16.00 O.upf
Ge 72.64 Ge.upf
Si 28.09 Si.upf
Ba 137.33 Ba.upf
ATOMIC_POSITIONS crystal
O 0.234 0.237 0.862
O 0.003 0.766 0.862
O 0.218 0.973 0.649
O 0.596 0.520 0.000
O 0.763 0.997 0.862
O 0.755 0.782 0.351
O 0.003 0.766 0.138
O 0.234 0.237 0.138
O 0.583 0.048 0.500
O 0.755 0.782 0.649
O 0.465 0.417 0.500
O 0.218 0.973 0.351
O 0.925 0.404 0.000
O 0.027 0.245 0.649
O 0.763 0.997 0.138
O 0.480 0.075 0.000
O 0.952 0.535 0.500
O 0.027 0.245 0.351
Ge 0.883 0.240 0.500
Ge 0.357 0.117 0.500
Ge 0.000 0.000 0.242
Ge 0.000 0.000 0.758
Ge 0.760 0.643 0.500
Si 0.374 0.252 0.000
Si 0.748 0.122 0.000
Si 0.878 0.626 0.000
Ba 0.333 0.667 0.752
Ba 0.333 0.667 0.248
CELL_PARAMETERS angstrom
-5.556 -1.511 -3.412
2.168 -4.081 4.842
-5.364 4.926 6.554
```

Record 9
Material: CuTcSe2
Method: DFT, PBEsol
State: relaxed Values from VASP.

Its energy relative to the lowest polymorph listed for this composition is 0 meV/atom. The space-group type is P4mm. Its formation energy without anion corrections is -0.010 eV per atom.

Cell and atoms, written as Quantum ESPRESSO input:
```
&SYSTEM
  ibrav = 0, nat = 4, ntyp = 3
/
ATOMIC_SPECIES
Se 78.96 Se.upf
Cu 63.55 Cu.upf
Tc 98.00 Tc.upf
ATOMIC_POSITIONS crystal
Se 0.500 0.500 0.336
Se 0.000 0.000 0.897
Cu 0.500 0.500 0.755
Tc 0.000 0.000 0.511
CELL_PARAMETERS angstrom
-0.517 -3.175 0.034
3.062 -0.489 0.859
-1.706 0.345 6.281
```

Record 10
Material: K4P3
Method: DFT, PBEsol
State: relaxed Values from VASP.

For the total energy, the calculation gives -49.02 eV for the cell shown. The space-group type is Cmcm.

Cell and atoms, written as Quantum ESPRESSO input:
```
&SYSTEM
  ibrav = 0, nat = 14, ntyp = 2
/
ATOMIC_SPECIES
P 30.97 P.upf
K 39.10 K.upf
ATOMIC_POSITIONS crystal
P 0.211 0.422 0.750
P 0.889 0.778 0.124
P 0.789 0.578 0.250
P 0.111 0.222 0.624
P 0.111 0.222 0.876
P 0.889 0.778 0.376
K 0.500 0.000 0.500
K 0.515 0.031 0.750
K 0.196 0.392 0.111
K 0.804 0.608 0.611
K 0.196 0.392 0.389
K 0.485 0.969 0.250
K 0.500 0.000 0.000
K 0.804 0.608 0.889
CELL_PARAMETERS angstrom
-4.874 -0.260 -0.579
1.910 -1.747 5.564
-1.315 13.905 4.817
```

Record 11
Material: Y2In3
Method: DFT, PBEsol
State: relaxed Values from VASP.

Its energy relative to the lowest polymorph listed for this composition is 0 meV/atom. The space-group type is Fdd2.

Cell and atoms, written as Quantum ESPRESSO input:
```
&SYSTEM
  ibrav = 0, nat = 10, ntyp = 2
/
ATOMIC_SPECIES
In 114.82 In.upf
Y 88.91 Y.upf
ATOMIC_POSITIONS crystal
In 0.809 0.372 0.728
In 0.431 0.128 0.228
In 0.250 0.500 0.500
In 0.453 0.628 0.272
In 0.331 0.872 0.772
In 0.000 0.000 0.000
Y 0.739 0.866 0.606
Y 0.855 0.634 0.106
Y 0.999 0.134 0.394
Y 0.383 0.366 0.894
CELL_PARAMETERS angstrom
-4.482 -1.505 3.918
-1.438 -5.918 0.894
7.354 0.371 3.744
```

Record 12
Material: YAuCl2
Method: DFT, PBEsol
State: relaxed Values from VASP.

Its energy relative to the lowest polymorph listed for this composition is 185 meV/atom. The space-group type is P4/mmm. Its formation energy without anion corrections is -1.035 eV per atom.

Cell and atoms, written as Quantum ESPRESSO input:
```
&SYSTEM
  ibrav = 0, nat = 4, ntyp = 3
/
ATOMIC_SPECIES
Cl 35.45 Cl.upf
Y 88.91 Y.upf
Au 196.97 Au.upf
ATOMIC_POSITIONS crystal
Cl 0.000 0.000 0.824
Cl 0.000 0.000 0.176
Y 0.500 0.500 0.000
Au 0.500 0.500 0.500
CELL_PARAMETERS angstrom
-1.348 -2.089 -2.020
1.469 -2.411 1.514
-6.957 -0.802 5.472
```

Record 13
Material: Tl2ReSi
Method: DFT, PBEsol
State: relaxed Values from VASP.

Its energy relative to the lowest polymorph listed for this composition is 748 meV/atom. The space-group type is P4/mmm. Its formation energy without anion corrections is 1.097 eV per atom.

Cell and atoms, written as Quantum ESPRESSO input:
```
&SYSTEM
  ibrav = 0, nat = 4, ntyp = 3
/
ATOMIC_SPECIES
Tl 204.38 Tl.upf
Re 186.21 Re.upf
Si 28.09 Si.upf
ATOMIC_POSITIONS crystal
Tl 0.000 0.000 0.500
Tl 0.000 0.500 0.000
Re 0.500 0.500 0.500
Si 0.500 0.000 0.000
CELL_PARAMETERS angstrom
-0.037 -1.224 3.010
4.668 -1.205 -0.433
1.279 4.319 1.771
```

Record 14
Material: TiFe2PC
Method: DFT, PBEsol
State: relaxed Values from VASP.

For the total energy, the calculation gives -35.70 eV for the cell shown. The space-group type is P4/mmm.

Cell and atoms, written as Quantum ESPRESSO input:
```
&SYSTEM
  ibrav = 0, nat = 5, ntyp = 4
/
ATOMIC_SPECIES
C 12.01 C.upf
Fe 55.84 Fe.upf
P 30.97 P.upf
Ti 47.87 Ti.upf
ATOMIC_POSITIONS crystal
C 0.500 0.500 0.500
Fe 0.500 0.000 0.000
Fe 0.000 0.500 0.000
P 0.000 0.000 0.000
Ti 0.000 0.000 0.500
CELL_PARAMETERS angstrom
3.958 0.000 0.000
0.000 3.958 0.000
0.000 0.000 4.582
```

Record 15
Material: Sr3GeO
Method: DFT, PBEsol
State: relaxed Values from VASP.

The space-group type is Pnma. Its formation energy without anion corrections is -1.465 eV per atom.

Cell and atoms, written as Quantum ESPRESSO input:
```
&SYSTEM
  ibrav = 0, nat = 20, ntyp = 3
/
ATOMIC_SPECIES
Ge 72.64 Ge.upf
O 16.00 O.upf
Sr 87.62 Sr.upf
ATOMIC_POSITIONS crystal
Ge 0.005 0.022 0.750
Ge 0.995 0.978 0.250
Ge 0.505 0.478 0.250
Ge 0.495 0.522 0.750
O 0.000 0.500 0.000
O 0.500 0.000 0.000
O 0.500 0.000 0.500
O 0.000 0.500 0.500
Sr 0.222 0.778 0.531
Sr 0.278 0.278 0.969
Sr 0.060 0.508 0.250
Sr 0.222 0.778 0.969
Sr 0.940 0.492 0.750
Sr 0.722 0.722 0.031
Sr 0.778 0.222 0.469
Sr 0.722 0.722 0.469
Sr 0.778 0.222 0.031
Sr 0.278 0.278 0.531
Sr 0.440 0.008 0.250
Sr 0.560 0.992 0.750
CELL_PARAMETERS angstrom
7.081 0.000 0.000
0.000 7.094 0.000
0.000 0.000 10.027
```

Record 16
Material: CsYW2O8
Method: DFT, PBEsol
State: relaxed Values from VASP.

The space-group type is C2/c. Its formation energy without anion corrections is -2.542 eV per atom.

Cell and atoms, written as Quantum ESPRESSO input:
```
&SYSTEM
  ibrav = 0, nat = 24, ntyp = 4
/
ATOMIC_SPECIES
O 16.00 O.upf
Cs 132.91 Cs.upf
W 183.84 W.upf
Y 88.91 Y.upf
ATOMIC_POSITIONS crystal
O 0.126 0.937 0.376
O 0.966 0.371 0.412
O 0.626 0.624 0.063
O 0.466 0.588 0.629
O 0.874 0.063 0.624
O 0.034 0.629 0.588
O 0.063 0.621 0.248
O 0.437 0.248 0.621
O 0.937 0.379 0.752
O 0.799 0.218 0.950
O 0.701 0.950 0.218
O 0.563 0.752 0.379
O 0.534 0.412 0.371
O 0.299 0.050 0.782
O 0.201 0.782 0.050
O 0.374 0.376 0.937
Cs 0.250 0.198 0.198
Cs 0.750 0.802 0.802
W 0.276 0.698 0.310
W 0.224 0.310 0.698
W 0.776 0.690 0.302
W 0.724 0.302 0.690
Y 0.250 0.773 0.773
Y 0.750 0.227 0.227
CELL_PARAMETERS angstrom
7.509 -0.026 0.033
3.496 6.679 0.056
-3.496 1.641 6.474
```

Record 17
Material: SbAu
Method: DFT, PBEsol
State: relaxed Values from VASP.

The space-group type is P2_1/m. Its formation energy without anion corrections is -0.055 eV per atom.

Cell and atoms, written as Quantum ESPRESSO input:
```
&SYSTEM
  ibrav = 0, nat = 4, ntyp = 2
/
ATOMIC_SPECIES
Sb 121.76 Sb.upf
Au 196.97 Au.upf
ATOMIC_POSITIONS crystal
Sb 0.250 0.190 0.785
Sb 0.750 0.810 0.215
Au 0.250 0.333 0.305
Au 0.750 0.667 0.695
CELL_PARAMETERS angstrom
-2.486 -2.317 -1.790
3.160 -1.675 -2.221
-0.511 -3.074 4.690
```

Record 18
Material: GaAs2F
Method: DFT, PBEsol
State: relaxed Values from VASP.

Its energy relative to the lowest polymorph listed for this composition is 0 meV/atom. The space-group type is I-42d. Its formation energy without anion corrections is -0.443 eV per atom.

Cell and atoms, written as Quantum ESPRESSO input:
```
&SYSTEM
  ibrav = 0, nat = 8, ntyp = 3
/
ATOMIC_SPECIES
F 19.00 F.upf
As 74.92 As.upf
Ga 69.72 Ga.upf
ATOMIC_POSITIONS crystal
F 0.500 0.500 0.000
F 0.750 0.250 0.500
As 0.846 0.375 0.250
As 0.404 0.875 0.250
As 0.125 0.154 0.750
As 0.625 0.596 0.750
Ga 0.000 0.000 0.000
Ga 0.250 0.750 0.500
CELL_PARAMETERS angstrom
3.732 0.000 0.000
0.000 3.732 0.000
-1.866 -1.866 9.929
```

Record 19
Material: YReCl2
Method: DFT, PBEsol
State: relaxed Values from VASP.

Its energy relative to the lowest polymorph listed for this composition is 0 meV/atom. The space-group type is Cm. Its formation energy without anion corrections is -0.507 eV per atom.

Cell and atoms, written as Quantum ESPRESSO input:
```
&SYSTEM
  ibrav = 0, nat = 4, ntyp = 3
/
ATOMIC_SPECIES
Cl 35.45 Cl.upf
Y 88.91 Y.upf
Re 186.21 Re.upf
ATOMIC_POSITIONS crystal
Cl 0.781 0.654 0.562
Cl 0.970 0.348 0.940
Y 0.183 0.057 0.366
Re 0.566 0.442 0.132
CELL_PARAMETERS angstrom
3.135 0.000 0.000
0.000 3.099 -0.028
-1.567 -1.445 9.078
```

Record 20
Material: PPb2W
Method: DFT, PBEsol
State: relaxed Values from VASP.

For the total energy, the calculation gives -23.24 eV for the cell shown. The space-group type is I-4m2.

Cell and atoms, written as Quantum ESPRESSO input:
```
&SYSTEM
  ibrav = 0, nat = 4, ntyp = 3
/
ATOMIC_SPECIES
Pb 207.20 Pb.upf
P 30.97 P.upf
W 183.84 W.upf
ATOMIC_POSITIONS crystal
Pb 0.750 0.250 0.500
Pb 0.000 0.000 0.000
P 0.250 0.750 0.500
W 0.500 0.500 0.000
CELL_PARAMETERS angstrom
-2.613 -1.761 -2.947
0.829 -3.917 1.606
-2.521 3.255 3.448
```

One value per record, in order, for calculated volume: 15.9, 50.5, 22.2, 24.5, 14.3, 20.9, 24.5, 13.6, 16.9, 29.2, 25.1, 22.8, 19.0, 14.4, 25.2, 13.6, 21.8, 17.3, 22.0, 20.6 Å³/atom.